# 1
7
Lattice="-2.411 9.849 4.052 -3.497 1.386 -5.451 0.334 -6.824 2.073" Properties=species:S:1:pos:R:3 comment="PmSm5In (PBE, relaxed)" m_tot_mub_per_fu=0.00 e_form_ev_per_atom=0.07 dos_ef_per_ev_cell=9.16 pbc="T T T"
Pm -1.742 7.115 2.927
Sm -1.436 0.167 0.964
Sm -2.011 1.764 -2.285
Sm -4.502 5.733 0.323
Sm -3.573 4.621 -2.754
Sm -1.662 3.864 0.224
In -3.744 8.844 0.628

---

# 2
14
Lattice="-3.325 -0.177 5.615 -3.598 -1.176 -5.318 2.111 -10.570 0.913" Properties=species:S:1:pos:R:3 comment="Pm3SmIn3 (PBE, relaxed)" m_tot_mub_per_fu=0.65 de_polymorph_mev_per_atom=62.4 e_form_ev_per_atom=-0.28 dos_ef_per_ev_cell=14.24 pbc="T T T"
Pm -2.781 -4.098 0.444
Pm -2.495 -6.288 -2.963
Pm -2.317 -5.636 4.172
Pm -3.536 -0.947 -2.814
Pm -3.388 -0.406 3.111
Pm -2.031 -7.825 0.766
Sm -2.895 -11.548 1.127
Sm -1.916 -0.376 0.082
In 0.525 -2.629 0.227
In -3.548 -8.648 3.635
In -3.685 -9.147 -1.828
In -1.263 -3.275 -2.425
In -1.127 -2.776 3.038
In -5.337 -9.294 0.983

---

# 3
12
Lattice="-2.204 6.327 1.553 -5.769 -2.496 1.981 5.565 -3.446 6.710" Properties=species:S:1:pos:R:3 comment="Pm3Sm2In (PBE, relaxed)" m_tot_mub_per_fu=0.00 de_polymorph_mev_per_atom=53.0 e_form_ev_per_atom=-0.10 dos_ef_per_ev_cell=13.03 pbc="T T T"
Pm -3.149 4.275 1.697
Pm -4.824 -0.444 1.836
Pm 1.520 -0.893 2.390
Pm -0.550 1.111 6.516
Pm -1.858 -0.726 3.727
Pm -3.927 1.278 7.853
Sm -3.208 2.270 4.474
Sm 0.117 2.253 3.173
Sm -2.525 -1.868 7.070
Sm 0.800 -1.884 5.770
In -5.909 2.671 2.600
In -2.064 1.160 0.933

---

# 4
14
Lattice="-0.589 -3.657 -7.218 7.823 1.194 1.789 -3.387 -4.674 5.701" Properties=species:S:1:pos:R:3 comment="Pm5SmIn8 (PBE, relaxed)" m_tot_mub_per_fu=0.00 e_form_ev_per_atom=-0.38 dos_ef_per_ev_cell=13.04 pbc="T T T"
Pm 1.910 -3.788 -5.841
Pm 5.490 -3.324 -3.338
Pm 2.341 -4.926 -0.726
Pm -1.988 -4.166 -0.759
Pm 0.750 -1.220 -2.470
Sm 1.224 -3.823 3.365
In 5.626 0.230 0.684
In -2.311 -6.689 -2.744
In 0.224 -4.369 -3.145
In -0.054 -5.870 1.237
In 3.585 -1.930 -1.086
In 3.857 -5.269 2.138
In 0.521 -2.547 0.465
In 3.939 -2.106 3.537

---

# 5
15
Lattice="-6.241 0.789 -2.023 2.711 -1.408 -8.911 -2.650 -7.304 5.327" Properties=species:S:1:pos:R:3 comment="Pm8Sm6In (PBE, relaxed)" m_tot_mub_per_fu=0.00 e_form_ev_per_atom=0.06 dos_ef_per_ev_cell=19.71 pbc="T T T"
Pm -5.719 -1.374 -0.583
Pm -5.177 -6.015 -4.064
Pm -7.038 -6.686 1.416
Pm -0.461 -6.548 -5.024
Pm -1.003 -1.908 -1.543
Pm 0.858 -1.237 -7.023
Pm -6.244 -4.658 -1.163
Pm 0.064 -3.264 -4.444
Sm -2.662 -1.065 -6.629
Sm -3.183 -4.801 -6.478
Sm -3.897 -2.672 -3.444
Sm -3.519 -6.858 1.022
Sm -2.998 -3.122 0.871
Sm -2.283 -5.251 -2.163
In -3.121 0.394 -1.012

---

# 6
20
Lattice="4.962 0.000 0.000 0.000 4.962 0.000 0.000 0.000 25.336" Properties=species:S:1:pos:R:3 comment="Pm15SmIn4 (PBE, relaxed)" m_tot_mub_per_fu=0.00 e_form_ev_per_atom=-0.21 dos_ef_per_ev_cell=29.46 pbc="T T T"
Pm 2.481 2.481 0.000
Pm 2.481 2.481 5.207
Pm 2.481 2.481 10.175
Pm 2.481 2.481 15.161
Pm 2.481 2.481 20.129
Pm 2.481 0.000 2.688
Pm 2.481 0.000 7.688
Pm 2.481 0.000 12.668
Pm 2.481 0.000 17.648
Pm 2.481 0.000 22.648
Pm 0.000 2.481 2.688
Pm 0.000 2.481 7.688
Pm 0.000 2.481 12.668
Pm 0.000 2.481 17.648
Pm 0.000 2.481 22.648
Sm 0.000 0.000 0.000
In 0.000 0.000 5.217
In 0.000 0.000 10.184
In 0.000 0.000 15.152
In 0.000 0.000 20.119